Compound: CsAcRuO4
Source: Alexandria via LeMat-Bulk
Functional: PBE-GGA
Structure: optimized geometry

Theoretical density   6728 kg/m3
DFT total energy   -6.623 eV per atom
Symmetry   Imma, No. 74
Magnetization   1.98 μB per formula unit
Raw formation energy   -1756.2 meV per atom

CIF file:
```
data_CsAcRuO4
_cell_length_a 7.121
_cell_length_b 7.121
_cell_length_c 7.121
_cell_angle_alpha 124.29
_cell_angle_beta 111.37
_cell_angle_gamma 94.14
_space_group_name_H-M_alt 'P 1'
_space_group_IT_number 1
loop_
_space_group_symop_operation_xyz
'x,y,z'
loop_
_atom_site_label
_atom_site_type_symbol
_atom_site_fract_x
_atom_site_fract_y
_atom_site_fract_z
Cs1 Cs 0.402 0.152 0.250
Cs2 Cs 0.598 0.848 0.750
Ac1 Ac 0.000 0.500 0.500
Ac2 Ac 0.500 0.500 0.000
Ru1 Ru 0.000 0.000 0.500
Ru2 Ru 0.000 0.500 0.000
O1 O 0.160 0.250 0.910
O2 O 0.160 0.750 0.410
O3 O 0.208 0.239 0.531
O4 O 0.208 0.676 0.969
O5 O 0.792 0.324 0.031
O6 O 0.792 0.761 0.469
O7 O 0.840 0.250 0.590
O8 O 0.840 0.750 0.090
```

---

Compound: ReIrBr
Source: Alexandria via LeMat-Bulk
Functional: PBE-GGA
Structure: optimized geometry

Theoretical density   13534 kg/m3
DFT total energy   -6.634 eV per atom
Symmetry   F-43m, No. 216
Offset from the most stable computed form   0.3539 eV per atom
Magnetization   0.00 μB per formula unit
Raw formation energy   1026.9 meV per atom

CIF file:
```
data_ReIrBr
_cell_length_a 4.300
_cell_length_b 4.300
_cell_length_c 4.300
_cell_angle_alpha 60.00
_cell_angle_beta 60.00
_cell_angle_gamma 60.00
_space_group_name_H-M_alt 'P 1'
_space_group_IT_number 1
loop_
_space_group_symop_operation_xyz
'x,y,z'
loop_
_atom_site_label
_atom_site_type_symbol
_atom_site_fract_x
_atom_site_fract_y
_atom_site_fract_z
Re1 Re 0.000 0.000 0.000
Ir1 Ir 0.750 0.750 0.750
Br1 Br 0.250 0.250 0.250
```

---

Compound: La8Ge3AsBr4
Source: Alexandria via LeMat-Bulk
Functional: PBE-GGA
Structure: optimized geometry

Theoretical density   5838 kg/m3
DFT total energy   -5.351 eV per atom
Symmetry   R-3m, No. 166
Magnetization   0.00 μB per formula unit
Raw formation energy   -1312.8 meV per atom

CIF file:
```
data_La8Ge3AsBr4
_cell_length_a 8.881
_cell_length_b 8.881
_cell_length_c 8.881
_cell_angle_alpha 59.55
_cell_angle_beta 59.55
_cell_angle_gamma 59.55
_space_group_name_H-M_alt 'P 1'
_space_group_IT_number 1
loop_
_space_group_symop_operation_xyz
'x,y,z'
loop_
_atom_site_label
_atom_site_type_symbol
_atom_site_fract_x
_atom_site_fract_y
_atom_site_fract_z
La1 La 0.239 0.741 0.741
La2 La 0.240 0.240 0.240
La3 La 0.259 0.259 0.761
La4 La 0.259 0.761 0.259
La5 La 0.741 0.239 0.741
La6 La 0.741 0.741 0.239
La7 La 0.760 0.760 0.760
La8 La 0.761 0.259 0.259
Ge1 Ge 0.000 0.000 0.500
Ge2 Ge 0.000 0.500 0.000
Ge3 Ge 0.500 0.000 0.000
As1 As 0.500 0.500 0.500
Br1 Br 0.000 0.000 0.000
Br2 Br 0.000 0.500 0.500
Br3 Br 0.500 0.000 0.500
Br4 Br 0.500 0.500 0.000
```

---

Compound: Cu4TeSeI
Source: Alexandria via LeMat-Bulk
Functional: PBE-GGA
Structure: optimized geometry

Theoretical density   6529 kg/m3
DFT total energy   -3.508 eV per atom
Symmetry   P2_1/m, No. 11
Magnetization   0.00 μB per formula unit
Raw formation energy   0.5 meV per atom

CIF file:
```
data_Cu4TeSeI
_cell_length_a 5.486
_cell_length_b 6.702
_cell_length_c 8.525
_cell_angle_alpha 90.00
_cell_angle_beta 107.53
_cell_angle_gamma 90.00
_space_group_name_H-M_alt 'P 1'
_space_group_IT_number 1
loop_
_space_group_symop_operation_xyz
'x,y,z'
loop_
_atom_site_label
_atom_site_type_symbol
_atom_site_fract_x
_atom_site_fract_y
_atom_site_fract_z
Cu1 Cu 0.094 0.250 0.178
Cu2 Cu 0.104 0.027 0.658
Cu3 Cu 0.104 0.473 0.658
Cu4 Cu 0.288 0.750 0.504
Cu5 Cu 0.712 0.250 0.496
Cu6 Cu 0.896 0.527 0.342
Cu7 Cu 0.896 0.973 0.342
Cu8 Cu 0.906 0.750 0.822
Te1 Te 0.411 0.750 0.825
Te2 Te 0.589 0.250 0.175
Se1 Se 0.262 0.250 0.480
Se2 Se 0.738 0.750 0.520
I1 I 0.118 0.750 0.156
I2 I 0.882 0.250 0.844
```

---

Compound: MnAl2Co
Source: Alexandria via LeMat-Bulk
Functional: PBE-GGA
Structure: optimized geometry

Theoretical density   5725 kg/m3
DFT total energy   -6.281 eV per atom
ΔH_f (0 K)   -132 kJ/mol of formula units
Symmetry   Fm-3m, No. 225
Magnetization   1.74 μB per formula unit

CIF file:
```
data_MnAl2Co
_cell_length_a 4.098
_cell_length_b 4.098
_cell_length_c 4.098
_cell_angle_alpha 60.00
_cell_angle_beta 60.00
_cell_angle_gamma 60.00
_space_group_name_H-M_alt 'P 1'
_space_group_IT_number 1
loop_
_space_group_symop_operation_xyz
'x,y,z'
loop_
_atom_site_label
_atom_site_type_symbol
_atom_site_fract_x
_atom_site_fract_y
_atom_site_fract_z
Mn1 Mn 0.000 0.000 0.000
Al1 Al 0.250 0.250 0.250
Al2 Al 0.750 0.750 0.750
Co1 Co 0.500 0.500 0.500
```

---

Compound: SnO4
Source: Alexandria via LeMat-Bulk
Functional: PBE-GGA
Structure: optimized geometry

Theoretical density   4472 kg/m3
DFT total energy   -4.642 eV per atom
Symmetry   Pm-3m, No. 221
Magnetization   4.00 μB per formula unit
Raw formation energy   125.5 meV per atom

CIF file:
```
data_SnO4
_cell_length_a 4.078
_cell_length_b 4.078
_cell_length_c 4.078
_cell_angle_alpha 90.00
_cell_angle_beta 90.00
_cell_angle_gamma 90.00
_space_group_name_H-M_alt 'P 1'
_space_group_IT_number 1
loop_
_space_group_symop_operation_xyz
'x,y,z'
loop_
_atom_site_label
_atom_site_type_symbol
_atom_site_fract_x
_atom_site_fract_y
_atom_site_fract_z
Sn1 Sn 0.000 0.000 0.000
O1 O 0.000 0.000 0.500
O2 O 0.000 0.500 0.000
O3 O 0.500 0.000 0.000
O4 O 0.500 0.500 0.500
```

---

Compound: ScTiCdGa
Source: Alexandria via LeMat-Bulk
Functional: PBE-GGA
Structure: optimized geometry

Theoretical density   6084 kg/m3
DFT total energy   -4.798 eV per atom
ΔH_f (0 K)   -99 kJ/mol of formula units
Symmetry   F-43m, No. 216
Magnetization   0.00 μB per formula unit

CIF file:
```
data_ScTiCdGa
_cell_length_a 4.735
_cell_length_b 4.735
_cell_length_c 4.735
_cell_angle_alpha 60.00
_cell_angle_beta 60.00
_cell_angle_gamma 60.00
_space_group_name_H-M_alt 'P 1'
_space_group_IT_number 1
loop_
_space_group_symop_operation_xyz
'x,y,z'
loop_
_atom_site_label
_atom_site_type_symbol
_atom_site_fract_x
_atom_site_fract_y
_atom_site_fract_z
Sc1 Sc 0.000 0.000 0.000
Ti1 Ti 0.500 0.500 0.500
Cd1 Cd 0.750 0.750 0.750
Ga1 Ga 0.250 0.250 0.250
```

---

Compound: FeReIr2
Source: Alexandria via LeMat-Bulk
Functional: PBE-GGA
Structure: optimized geometry

Theoretical density   13134 kg/m3
DFT total energy   -8.683 eV per atom
ΔH_f (0 K)   376 kJ/mol of formula units
Symmetry   I-42d, No. 122
Offset from the most stable computed form   1.1180 eV per atom
Magnetization   0.00 μB per formula unit

CIF file:
```
data_FeReIr2
_cell_length_a 6.749
_cell_length_b 6.749
_cell_length_c 6.749
_cell_angle_alpha 133.61
_cell_angle_beta 133.61
_cell_angle_gamma 67.70
_space_group_name_H-M_alt 'P 1'
_space_group_IT_number 1
loop_
_space_group_symop_operation_xyz
'x,y,z'
loop_
_atom_site_label
_atom_site_type_symbol
_atom_site_fract_x
_atom_site_fract_y
_atom_site_fract_z
Fe1 Fe 0.000 0.000 0.000
Fe2 Fe 0.750 0.250 0.500
Re1 Re 0.250 0.750 0.500
Re2 Re 0.500 0.500 0.000
Ir1 Ir 0.101 0.625 0.976
Ir2 Ir 0.375 0.351 0.476
Ir3 Ir 0.649 0.125 0.024
Ir4 Ir 0.875 0.899 0.524
```

---

Compound: CdAg3H
Source: Alexandria via LeMat-Bulk
Functional: PBE-GGA
Structure: optimized geometry

Theoretical density   9425 kg/m3
DFT total energy   -2.432 eV per atom
Symmetry   Pm-3m, No. 221
Offset from the most stable computed form   0.0000 eV per atom
Magnetization   0.00 μB per formula unit

CIF file:
```
data_CdAg3H
_cell_length_a 4.254
_cell_length_b 4.254
_cell_length_c 4.254
_cell_angle_alpha 90.00
_cell_angle_beta 90.00
_cell_angle_gamma 90.00
_space_group_name_H-M_alt 'P 1'
_space_group_IT_number 1
loop_
_space_group_symop_operation_xyz
'x,y,z'
loop_
_atom_site_label
_atom_site_type_symbol
_atom_site_fract_x
_atom_site_fract_y
_atom_site_fract_z
Cd1 Cd 0.000 0.000 0.000
Ag1 Ag 0.000 0.500 0.500
Ag2 Ag 0.500 0.000 0.500
Ag3 Ag 0.500 0.500 0.000
H1 H 0.500 0.500 0.500
```

---

Compound: Ac3LaHg
Source: Alexandria via LeMat-Bulk
Functional: PBE-GGA
Structure: optimized geometry

Theoretical density   8742 kg/m3
DFT total energy   -3.659 eV per atom
ΔH_f (0 K)   -72 kJ/mol of formula units
Symmetry   C2/m, No. 12
Offset from the most stable computed form   0.0000 eV per atom
Magnetization   0.00 μB per formula unit

CIF file:
```
data_Ac3LaHg
_cell_length_a 6.840
_cell_length_b 6.840
_cell_length_c 11.416
_cell_angle_alpha 96.94
_cell_angle_beta 96.94
_cell_angle_gamma 47.08
_space_group_name_H-M_alt 'P 1'
_space_group_IT_number 1
loop_
_space_group_symop_operation_xyz
'x,y,z'
loop_
_atom_site_label
_atom_site_type_symbol
_atom_site_fract_x
_atom_site_fract_y
_atom_site_fract_z
Ac1 Ac 0.032 0.032 0.342
Ac2 Ac 0.278 0.278 0.766
Ac3 Ac 0.397 0.397 0.107
Ac4 Ac 0.603 0.603 0.893
Ac5 Ac 0.722 0.722 0.234
Ac6 Ac 0.968 0.968 0.658
La1 La 0.341 0.341 0.447
La2 La 0.659 0.659 0.553
Hg1 Hg 0.118 0.118 0.070
Hg2 Hg 0.882 0.882 0.930
```